Computed, not measured: K2NaIn3Ag12 after structural relaxation at the GGA-PBE level of DFT.

Its total energy is -43.92 eV/cell. The calculation puts the energy relative to the elements at 113 meV/atom. As for the density of states at the Fermi level: 6.2 states/eV/f.u.

abc: 7.4353 7.4353 7.4353
angles: 84.45 84.45 84.45
Element x y z (fractional)
K 0.3012 0.3012 0.3012
K 0.6988 0.6988 0.6988
In 0.0000 0.0000 0.5000
In 0.5000 0.0000 0.0000
In 0.0000 0.5000 0.0000
Ag 0.8721 0.4111 0.4111
Ag 0.4111 0.8721 0.4111
Ag 0.1279 0.5889 0.5889
Ag 0.5889 0.5889 0.1279
Ag 0.8020 0.2861 0.8020
Ag 0.1980 0.7139 0.1980
Ag 0.7139 0.1980 0.1980
Ag 0.4111 0.4111 0.8721
Ag 0.8020 0.8020 0.2861
Ag 0.5889 0.1279 0.5889
Ag 0.2861 0.8020 0.8020
Ag 0.1980 0.1980 0.7139
Na 0.0000 0.0000 0.0000

=====

Computed, not measured: Cr2AsSe after structural relaxation at the GGA-PBE level of DFT.

The energy above the lowest structure with this stoichiometry is 0.42 eV/f.u. Its total energy is -27.93 eV/cell. As for the density of states at the Fermi level: 2.5 states/eV/f.u.

abc: 3.7029 3.7029 5.2375
angles: 90.00 90.00 90.00
Element x y z (fractional)
Cr 0.5000 0.5000 0.3623
Cr 0.0000 0.0000 0.8903
Se 0.0000 0.0000 0.3844
As 0.5000 0.5000 0.8630